# Ac2YMg3

A relaxed structure of Ac2YMg3 (GGA-PBE, Alexandria via LeMat-Bulk).

Calculated values
**Final energy**: -19.93 eV for the cell shown

Geometry as CIF:
```
data_Ac2YMg3
_chemical_formula_sum 'Ac2 Y1 Mg3'
_space_group_name_H-M_alt 'P 4/m m m'
_space_group_IT_number 123
_space_group_name_Hall '-P 4 2'
_cell_length_a 4.0032
_cell_length_b 4.0032
_cell_length_c 12.0878
_cell_angle_alpha 90.00
_cell_angle_beta 90.00
_cell_angle_gamma 90.00
loop_
_atom_site_label
_atom_site_type_symbol
_atom_site_fract_x
_atom_site_fract_y
_atom_site_fract_z
Ac1 Ac 0.0000 0.0000 0.1764
Y1 Y 0.0000 0.0000 0.5000
Mg1 Mg 0.5000 0.5000 0.0000
Mg2 Mg 0.5000 0.5000 0.3570
```

---

# CaMg4Cu

A relaxed structure of CaMg4Cu (GGA-PBE, Alexandria via LeMat-Bulk).

Calculated values
**Final energy**: -46.11 eV for the cell shown
**Energy above the lowest structure with this stoichiometry**: 1.55 eV/f.u.

Geometry as CIF:
```
data_CaMg4Cu
_chemical_formula_sum 'Ca4 Mg16 Cu4'
_space_group_name_H-M_alt 'F -4 3 m'
_space_group_IT_number 216
_space_group_name_Hall 'F -4 2 3'
_cell_length_a 8.2984
_cell_length_b 8.2984
_cell_length_c 8.2984
_cell_angle_alpha 90.00
_cell_angle_beta 90.00
_cell_angle_gamma 90.00
loop_
_atom_site_label
_atom_site_type_symbol
_atom_site_fract_x
_atom_site_fract_y
_atom_site_fract_z
Ca1 Ca 0.0000 0.0000 0.0000
Mg1 Mg 0.1243 0.1243 0.3757
Cu1 Cu 0.2500 0.2500 0.7500
```

---

# Sr2Ga7Hg

A relaxed structure of Sr2Ga7Hg (GGA-PBE, Alexandria via LeMat-Bulk).

Calculated values
**Final energy**: -28.79 eV for the cell shown

Geometry as CIF:
```
data_Sr2Ga7Hg
_chemical_formula_sum 'Sr2 Ga7 Hg1'
_space_group_name_H-M_alt 'P -4 m 2'
_space_group_IT_number 115
_space_group_name_Hall 'P -4 -2'
_cell_length_a 4.5323
_cell_length_b 4.5323
_cell_length_c 10.9446
_cell_angle_alpha 90.00
_cell_angle_beta 90.00
_cell_angle_gamma 90.00
loop_
_atom_site_label
_atom_site_type_symbol
_atom_site_fract_x
_atom_site_fract_y
_atom_site_fract_z
Sr1 Sr 0.0000 0.5000 0.2472
Ga1 Ga 0.0000 0.0000 0.0000
Ga2 Ga 0.0000 0.5000 0.6382
Ga3 Ga 0.0000 0.5000 0.8697
Ga4 Ga 0.5000 0.5000 0.0000
Ga5 Ga 0.5000 0.5000 0.5000
Hg1 Hg 0.0000 0.0000 0.5000
```

---

Number 1: calculated formation energy -0.5 eV/f.u.. Number 2: calculated formation energy 0.9 eV/f.u.. Number 3: calculated formation energy -3.9 eV/f.u..